(1)
Here is TmZr2Sb after structural relaxation from Alexandria. Energies are from PBE.

Lattice parameters (Å, degrees): 11.405 11.405 11.405 16.25 16.25 16.25
Element x y z (fractional)
Tm: 0.000 0.000 0.000
Zr: 0.093 0.093 0.093
Zr: 0.907 0.907 0.907
Sb: 0.500 0.500 0.500

Calculated values
For the density of states at the Fermi level, the calculation gives 1.260 states/eV per atom. Its symmetry is No. 166. The energy above the most stable polymorph in this dataset comes out at 523 meV per atom. The raw total energy is -6.2763 eV/atom.



(2)
Here is TmZrSb2 after structural relaxation from Alexandria. Energies are from PBE.

Lattice parameters (Å, degrees): 7.322 7.322 7.322 131.79 131.79 70.56
Element x y z (fractional)
Tm: 0.375 0.625 0.750
Tm: 0.625 0.375 0.250
Zr: 0.125 0.875 0.250
Zr: 0.875 0.125 0.750
Sb: 0.122 0.372 0.750
Sb: 0.372 0.122 0.250
Sb: 0.628 0.878 0.750
Sb: 0.878 0.628 0.250

Calculated values
For the density of states at the Fermi level, the calculation gives 0.588 states/eV per atom. Its symmetry is No. 141. The energy above the most stable polymorph in this dataset comes out at 15 meV per atom. The raw total energy is -6.1125 eV/atom.



(3)
Here is TmZrSb2 after structural relaxation from Alexandria. Energies are from PBE.

Lattice parameters (Å, degrees): 7.418 7.418 7.418 32.85 32.85 32.85
Element x y z (fractional)
Tm: 0.000 0.000 0.000
Zr: 0.500 0.500 0.500
Sb: 0.247 0.247 0.247
Sb: 0.753 0.753 0.753

Calculated values
For the density of states at the Fermi level, the calculation gives 0.495 states/eV per atom. Its symmetry is No. 166. The energy above the most stable polymorph in this dataset comes out at 0 meV per atom. The raw total energy is -6.1277 eV/atom.



(4)
Here is U4Sb after structural relaxation from Alexandria. Energies are from PBE.

Lattice parameters (Å, degrees): 5.668 5.668 5.668 90.00 90.00 90.00
Element x y z (fractional)
U: 0.000 0.000 0.000
U: 0.000 0.500 0.500
U: 0.500 0.000 0.500
U: 0.500 0.500 0.000
Sb: 0.500 0.500 0.500

Calculated values
For the density of states at the Fermi level, the calculation gives 6.942 states/eV per atom. Its symmetry is No. 221. The energy above the most stable polymorph in this dataset comes out at 1731 meV per atom. The raw total energy is -8.2149 eV/atom.



(5)
Here is USb3 after structural relaxation from Alexandria. Energies are from PBE.

Lattice parameters (Å, degrees): 4.740 4.740 4.585 90.00 90.00 90.00
Element x y z (fractional)
U: 0.000 0.000 0.000
Sb: 0.000 0.500 0.500
Sb: 0.500 0.000 0.500
Sb: 0.500 0.500 0.000

Calculated values
For the density of states at the Fermi level, the calculation gives 2.476 states/eV per atom. Its symmetry is No. 123. The energy above the most stable polymorph in this dataset comes out at 57 meV per atom. The raw total energy is -6.0119 eV/atom.



(6)
Here is USb3 after structural relaxation from Alexandria. Energies are from PBE.

Lattice parameters (Å, degrees): 6.137 6.137 6.137 137.80 137.80 61.22
Element x y z (fractional)
U: 0.000 0.000 0.000
Sb: 0.250 0.750 0.500
Sb: 0.500 0.500 0.000
Sb: 0.750 0.250 0.500

Calculated values
For the density of states at the Fermi level, the calculation gives 1.609 states/eV per atom. Its symmetry is No. 139. The energy above the most stable polymorph in this dataset comes out at 0 meV per atom. The raw total energy is -6.0693 eV/atom.



(7)
Here is USb after structural relaxation from Alexandria. Energies are from PBE.

Lattice parameters (Å, degrees): 5.893 5.893 4.695 93.46 93.46 40.29
Element x y z (fractional)
U: 0.084 0.084 0.178
U: 0.916 0.916 0.822
Sb: 0.368 0.368 0.303
Sb: 0.632 0.632 0.697

Calculated values
For the density of states at the Fermi level, the calculation gives 1.865 states/eV per atom. Its symmetry is No. 12. The raw total energy is -7.9362 eV/atom.



(8)
Here is U2Sb5 after structural relaxation from Alexandria. Energies are from PBE.

Lattice parameters (Å, degrees): 20.693 20.693 4.306 90.00 90.00 168.00
Element x y z (fractional)
U: 0.100 0.900 0.750
U: 0.310 0.690 0.750
U: 0.690 0.310 0.250
U: 0.900 0.100 0.250
Sb: 0.037 0.963 0.250
Sb: 0.175 0.825 0.750
Sb: 0.250 0.750 0.250
Sb: 0.386 0.614 0.750
Sb: 0.457 0.543 0.250
Sb: 0.543 0.457 0.750
Sb: 0.614 0.386 0.250
Sb: 0.750 0.250 0.750
Sb: 0.825 0.175 0.250
Sb: 0.963 0.037 0.750

Calculated values
For the density of states at the Fermi level, the calculation gives 2.253 states/eV per atom. Its symmetry is No. 63. The raw total energy is -6.3326 eV/atom.



(9)
Here is U4Sb after structural relaxation from Alexandria. Energies are from PBE.

Lattice parameters (Å, degrees): 5.239 5.239 5.413 113.71 113.71 53.17
Element x y z (fractional)
U: 0.122 0.122 0.232
U: 0.264 0.264 0.828
U: 0.736 0.736 0.172
U: 0.878 0.878 0.768
Sb: 0.500 0.500 0.500

Calculated values
For the density of states at the Fermi level, the calculation gives 1.838 states/eV per atom. Its symmetry is No. 12. The energy above the most stable polymorph in this dataset comes out at 0 meV per atom. The raw total energy is -9.9462 eV/atom.



(10)
Here is U5Sb4 after structural relaxation from Alexandria. Energies are from PBE.

Lattice parameters (Å, degrees): 9.299 9.299 6.158 90.00 90.00 120.00
Element x y z (fractional)
U: 0.000 0.288 0.250
U: 0.000 0.712 0.750
U: 0.288 0.000 0.250
U: 0.288 0.288 0.750
U: 0.333 0.667 0.000
U: 0.333 0.667 0.500
U: 0.667 0.333 0.000
U: 0.667 0.333 0.500
U: 0.712 0.000 0.750
U: 0.712 0.712 0.250
Sb: 0.000 0.000 0.000
Sb: 0.000 0.000 0.500
Sb: 0.000 0.378 0.750
Sb: 0.000 0.622 0.250
Sb: 0.378 0.000 0.750
Sb: 0.378 0.378 0.250
Sb: 0.622 0.000 0.250
Sb: 0.622 0.622 0.750

Calculated values
For the density of states at the Fermi level, the calculation gives 3.103 states/eV per atom. Its symmetry is No. 193. The raw total energy is -8.3014 eV/atom.



(11)
Here is USb3 after structural relaxation from Alexandria. Energies are from PBE.

Lattice parameters (Å, degrees): 5.730 5.730 10.301 90.00 90.00 137.85
Element x y z (fractional)
U: 0.245 0.755 0.750
U: 0.755 0.245 0.250
Sb: 0.148 0.852 0.041
Sb: 0.148 0.852 0.459
Sb: 0.471 0.529 0.250
Sb: 0.529 0.471 0.750
Sb: 0.852 0.148 0.541
Sb: 0.852 0.148 0.959

Calculated values
For the density of states at the Fermi level, the calculation gives 2.189 states/eV per atom. Its symmetry is No. 63. The energy above the most stable polymorph in this dataset comes out at 109 meV per atom. The raw total energy is -5.9601 eV/atom.



(12)
Here is USb3 after structural relaxation from Alexandria. Energies are from PBE.

Lattice parameters (Å, degrees): 6.384 6.384 5.837 90.00 90.00 120.00
Element x y z (fractional)
U: 0.333 0.667 0.250
U: 0.667 0.333 0.750
Sb: 0.173 0.346 0.750
Sb: 0.173 0.827 0.750
Sb: 0.346 0.173 0.250
Sb: 0.654 0.827 0.750
Sb: 0.827 0.173 0.250
Sb: 0.827 0.654 0.250

Calculated values
For the density of states at the Fermi level, the calculation gives 2.123 states/eV per atom. Its symmetry is No. 194. The energy above the most stable polymorph in this dataset comes out at 15 meV per atom. The raw total energy is -6.0538 eV/atom.



> Which value of density of states at the Fermi level does entry 12 give?

2.123 states/eV per atom